[1]
PuNpC | PBE | relaxed

a b c (Å): 4.0249 4.0249 3.5830
angles (deg): 90.00 90.00 120.00
Last column: nearest neighbours and their distance in Å.
Positions (direct):
Pu 0.0000 0.0000 0.0000  3 C 2.36, 3 Np 2.52
Np 0.6667 0.3333 0.2726  3 C 2.39, 3 Pu 2.52
C 0.3333 0.6667 0.1212  3 Pu 2.36, 3 Np 2.39

## Properties
* relative energy among the computed polymorphs: 518 meV per atom
* DOS at the Fermi energy: 2.640 states/eV/atom
* final energy: -35.3 eV for the cell shown
* magnetization: 1.928 Bohr magnetons per cell
* ΔE_f: 1.16 eV per formula unit

---

[2]
Sc2Cu2Ag | PBE | relaxed

a b c (Å): 5.1681 5.1681 5.1681
angles (deg): 121.38 121.38 87.63
Last column: nearest neighbours and their distance in Å.
Positions (direct):
Sc 0.2500 0.7500 0.5000  4 Cu 2.64
Sc 0.7500 0.2500 0.5000  4 Cu 2.64
Cu 0.1475 0.1475 0.0000  1 Cu 2.20
Cu 0.8525 0.8525 0.0000  1 Cu 2.20
Ag 0.5000 0.5000 0.0000  2 Cu 2.63

## Properties
* relative energy among the computed polymorphs: 244 meV per atom
* DOS at the Fermi energy: 0.937 states/eV/atom
* final energy: -23.7 eV for the cell shown
* magnetization: 0.000 Bohr magnetons per cell
* ΔE_f: -0.01 eV per formula unit

---

[3]
DyYPu2N4 | PBE | relaxed

a b c (Å): 6.0112 3.4776 6.0238
angles (deg): 90.00 109.99 90.00
Last column: nearest neighbours and their distance in Å.
Positions (direct):
Dy 0.0000 0.0000 0.0000  6 N 2.47-2.48
Y 0.5000 0.5000 0.0000  6 N 2.47-2.49
Pu 0.0000 0.5000 0.5000  6 N 2.41-2.46
Pu 0.5000 0.0000 0.5000  6 N 2.42-2.46
N 0.2426 0.0000 0.7421  3 Pu 2.41-2.46, 1 Dy 2.47, 2 Y 2.49
N 0.2563 0.5000 0.2574  3 Pu 2.42-2.46, 1 Y 2.47, 2 Dy 2.48
N 0.7437 0.5000 0.7426  3 Pu 2.42-2.46, 1 Y 2.47, 2 Dy 2.48
N 0.7574 0.0000 0.2579  3 Pu 2.41-2.46, 1 Dy 2.47, 2 Y 2.49

## Properties
* DOS at the Fermi energy: 1.773 states/eV/atom
* final energy: -84.5 eV for the cell shown
* ΔE_f (raw): -1.43 eV per atom
* magnetization: 0.012 Bohr magnetons per cell

---

[4]
Er6In3Bi | PBE | relaxed

a b c (Å): 9.3258 9.3258 7.1825
angles (deg): 90.00 90.00 108.13
Last column: nearest neighbours and their distance in Å.
Positions (direct):
Er 0.0283 0.9717 0.5000  1 Bi 3.04, 4 In 3.06-3.16
Er 0.0970 0.5027 0.0013  3 In 2.98-3.33, 1 Bi 3.24
Er 0.2300 0.3156 0.6707  4 In 3.07-3.26, 2 Er 3.40
Er 0.3040 0.6960 0.5750  1 Bi 3.27, 2 Er 3.47, 3 In 3.51-3.55
Er 0.3156 0.2300 0.1707  4 In 3.07-3.26, 2 Er 3.40
Er 0.4973 0.9030 0.0013  3 In 2.98-3.33, 1 Bi 3.24
Er 0.5027 0.0970 0.5013  3 In 2.98-3.33, 1 Bi 3.24
Er 0.6844 0.7700 0.6707  4 In 3.07-3.26, 2 Er 3.40
Er 0.6960 0.3040 0.0750  1 Bi 3.27, 2 Er 3.47, 3 In 3.51-3.55
Er 0.7700 0.6844 0.1707  4 In 3.07-3.26, 2 Er 3.40
Er 0.9030 0.4973 0.5013  3 In 2.98-3.33, 1 Bi 3.24
Er 0.9717 0.0283 0.0000  1 Bi 3.04, 4 In 3.06-3.16
In 0.0171 0.2704 0.3016  6 Er 2.98-3.26, 1 In 3.15
In 0.2704 0.0171 0.8016  6 Er 2.98-3.26, 1 In 3.15
In 0.4608 0.5392 0.9425  6 Er 3.16-3.33
In 0.5392 0.4608 0.4425  6 Er 3.16-3.33
In 0.7296 0.9829 0.3016  6 Er 2.98-3.26, 1 In 3.15
In 0.9829 0.7296 0.8016  6 Er 2.98-3.26, 1 In 3.15
Bi 0.1748 0.8252 0.2104  4 Er 3.04-3.27
Bi 0.8252 0.1748 0.7104  4 Er 3.04-3.27

## Properties
* DOS at the Fermi energy: 1.027 states/eV/atom
* final energy: -84.2 eV for the cell shown
* magnetization: 0.001 Bohr magnetons per cell
* ΔE_f: -2.65 eV per formula unit